Below is crystalline ScMnNb2W at its relaxed geometry, with properties calculated at the PBE-GGA level.

Properties
Density of states at the Fermi level ... 1.528 states/eV/atom
Energy relative to the elements ... 2293.5 meV/atom
ρ ... 7.9 g/cm³
Electronic total energy ... -37.1 eV per cell

```
data_ScMnNb2W
_chemical_formula_sum 'Sc1 Mn1 Nb2 W1'
_symmetry_space_group_name_H-M 'P 4/m m m'
_symmetry_Int_Tables_number 123
_symmetry_space_group_name_Hall '-P 4 2'
_cell_length_a 4.6714
_cell_length_b 4.6714
_cell_length_c 4.5497
_cell_angle_alpha 90.00
_cell_angle_beta 90.00
_cell_angle_gamma 90.00
loop_
_atom_site_label
_atom_site_type_symbol
_atom_site_fract_x
_atom_site_fract_y
_atom_site_fract_z
Sc1 Sc 0.0000 0.0000 0.0000
Mn1 Mn 0.5000 0.5000 0.5000
Nb1 Nb 0.0000 0.5000 0.0000
W1 W 0.0000 0.0000 0.5000
```



Below is crystalline Ca3Nd2PaAs6 at its relaxed geometry, with properties calculated at the PBE-GGA level.

Properties
Density of states at the Fermi level ... 0.691 states/eV/atom
Energy relative to the elements ... -1245.6 meV/atom
ρ ... 5.6 g/cm³
Electronic total energy ... -135.8 eV per cell

```
data_Ca3Nd2PaAs6
_chemical_formula_sum 'Ca6 Nd4 Pa2 As12'
_symmetry_space_group_name_H-M 'C 1 2/m 1'
_symmetry_Int_Tables_number 12
_cell_length_a 7.3872
_cell_length_b 12.8139
_cell_length_c 7.2778
_cell_angle_alpha 90.00
_cell_angle_beta 109.92
_cell_angle_gamma 90.00
loop_
_symmetry_equiv_pos_as_xyz
'x,y,z'
'-x,-y,-z'
'-x,y,-z'
'x,-y,z'
'x+1/2,y+1/2,z'
'-x+1/2,-y+1/2,-z'
'-x+1/2,y+1/2,-z'
'x+1/2,-y+1/2,z'
loop_
_atom_site_label
_atom_site_type_symbol
_atom_site_fract_x
_atom_site_fract_y
_atom_site_fract_z
Ca1 Ca 0.0000 0.0000 0.0000
Ca2 Ca 0.0000 0.3288 0.0000
Nd1 Nd 0.0000 0.1664 0.5000
Pa1 Pa 0.0000 0.5000 0.5000
As1 As 0.2392 0.3401 0.7384
As2 As 0.2391 0.5000 0.2607
```



Below is crystalline Tb5Y2Mg at its relaxed geometry, with properties calculated at the PBE-GGA level.

Properties
Density of states at the Fermi level ... 0.991 states/eV/atom
Energy relative to the elements ... 19.1 meV/atom
ρ ... 6.7 g/cm³
Electronic total energy ... -75.0 eV per cell
Relative energy among the computed polymorphs ... 0.000 eV/f.u.

```
data_Tb5Y2Mg
_chemical_formula_sum 'Tb10 Y4 Mg2'
_symmetry_space_group_name_H-M 'I 4/m m m'
_symmetry_Int_Tables_number 139
_symmetry_space_group_name_Hall '-I 4 2'
_cell_length_a 7.0470
_cell_length_b 7.0470
_cell_length_c 9.9544
_cell_angle_alpha 90.00
_cell_angle_beta 90.00
_cell_angle_gamma 90.00
loop_
_atom_site_label
_atom_site_type_symbol
_atom_site_fract_x
_atom_site_fract_y
_atom_site_fract_z
Tb1 Tb 0.0000 0.0000 0.0000
Tb2 Tb 0.2500 0.2500 0.2500
Y1 Y 0.0000 0.5000 0.0000
Mg1 Mg 0.0000 0.0000 0.5000
```



Below is crystalline TlGa2Sb at its relaxed geometry, with properties calculated at the PBE-GGA level.

Properties
Density of states at the Fermi level ... 0.323 states/eV/atom
Energy relative to the elements, uncorrected ... 0.060 eV/atom
ρ ... 7.0 g/cm³
Electronic total energy ... -36.9 eV per cell
Relative energy among the computed polymorphs ... 0.000 eV/f.u.

```
data_TlGa2Sb
_chemical_formula_sum 'Tl3 Ga6 Sb3'
_symmetry_space_group_name_H-M 'R 3 m'
_symmetry_Int_Tables_number 160
_symmetry_space_group_name_Hall 'R 3 -2"'
_cell_length_a 4.2973
_cell_length_b 4.2973
_cell_length_c 20.5894
_cell_angle_alpha 90.00
_cell_angle_beta 90.00
_cell_angle_gamma 120.00
loop_
_atom_site_label
_atom_site_type_symbol
_atom_site_fract_x
_atom_site_fract_y
_atom_site_fract_z
Tl1 Tl 0.0000 0.0000 0.0000
Ga1 Ga 0.0000 0.0000 0.5729
Ga2 Ga 0.0000 0.0000 0.7626
Sb1 Sb 0.0000 0.0000 0.1701
```



density of states at the Fermi level of number 2 (Ca3Nd2PaAs6)? 0.691 states/eV/atom



Repeat the second record exactly.
Below is crystalline Ca3Nd2PaAs6 at its relaxed geometry, with properties calculated at the PBE-GGA level.

Properties
Density of states at the Fermi level ... 0.691 states/eV/atom
Energy relative to the elements ... -1245.6 meV/atom
ρ ... 5.6 g/cm³
Electronic total energy ... -135.8 eV per cell

```
data_Ca3Nd2PaAs6
_chemical_formula_sum 'Ca6 Nd4 Pa2 As12'
_symmetry_space_group_name_H-M 'C 1 2/m 1'
_symmetry_Int_Tables_number 12
_cell_length_a 7.3872
_cell_length_b 12.8139
_cell_length_c 7.2778
_cell_angle_alpha 90.00
_cell_angle_beta 109.92
_cell_angle_gamma 90.00
loop_
_symmetry_equiv_pos_as_xyz
'x,y,z'
'-x,-y,-z'
'-x,y,-z'
'x,-y,z'
'x+1/2,y+1/2,z'
'-x+1/2,-y+1/2,-z'
'-x+1/2,y+1/2,-z'
'x+1/2,-y+1/2,z'
loop_
_atom_site_label
_atom_site_type_symbol
_atom_site_fract_x
_atom_site_fract_y
_atom_site_fract_z
Ca1 Ca 0.0000 0.0000 0.0000
Ca2 Ca 0.0000 0.3288 0.0000
Nd1 Nd 0.0000 0.1664 0.5000
Pa1 Pa 0.0000 0.5000 0.5000
As1 As 0.2392 0.3401 0.7384
As2 As 0.2391 0.5000 0.2607
```